(1)
A plane-wave DFT calculation with GGA-PBE was carried out for a relaxed structure of Pr2NdErTl2.

Properties
Electronic total energy (eV per atom): -4.205
E_form (meV per atom): -268

a b c (Å): 5.206 7.012 10.270
angles (deg): 90.00 90.00 90.00
Atoms (fractional coordinates):
Pr 0.500 0.058 0.048
Pr 0.000 0.333 0.183
Pr 0.500 0.558 0.952
Pr 0.000 0.833 0.817
Nd 0.000 0.960 0.454
Nd 0.000 0.460 0.546
Er 0.500 0.174 0.687
Er 0.500 0.674 0.313
Tl 0.000 0.297 0.855
Tl 0.500 0.223 0.376
Tl 0.000 0.797 0.145
Tl 0.500 0.723 0.624

---

(2)
A plane-wave DFT calculation with GGA-PBE was carried out for a relaxed structure of CsK2Hg.

Properties
Electronic total energy (eV per atom): -0.865
E_form (meV per atom): -27

a b c (Å): 5.814 5.814 15.083
angles (deg): 78.89 78.89 90.00
Atoms (fractional coordinates):
Cs 0.500 0.500 0.000
Cs 0.250 0.750 0.500
K 0.655 0.125 0.250
K 0.095 0.625 0.250
K 0.375 0.345 0.750
K 0.875 0.905 0.750
Hg 0.000 0.000 0.000
Hg 0.750 0.250 0.500

---

(3)
A plane-wave DFT calculation with GGA-PBE was carried out for a relaxed structure of ZnReSb.

Properties
Formation energy from raw total energies (eV per atom): 0.471
Electronic total energy (eV per atom): -5.477
ΔE to the lowest computed polymorph (meV/atom): 208

a b c (Å): 3.129 3.129 6.632
angles (deg): 90.00 90.00 120.00
Atoms (fractional coordinates):
Re 0.000 0.000 0.999
Sb 0.667 0.333 0.303
Zn 0.333 0.667 0.698

---

(4)
A plane-wave DFT calculation with GGA-PBE was carried out for a relaxed structure of Th2Sb3.

Properties
Formation energy from raw total energies (eV per atom): -0.420
Electronic total energy (eV per atom): -5.861

a b c (Å): 4.455 4.455 10.507
angles (deg): 77.76 77.76 60.00
Atoms (fractional coordinates):
Th 0.398 0.398 0.807
Th 0.602 0.602 0.193
Sb 0.000 0.000 0.000
Sb 0.790 0.790 0.631
Sb 0.210 0.210 0.369